Computed, not measured: an optimized crystal structure of Tm8Th at the PBE level of DFT.

Unit cell a=10.5085 b=10.5085 c=4.9601 alpha=90.00 beta=90.00 gamma=90.00
Last column: nearest neighbours and their distance in Å.
Space group I4/mmm (No. 139)
Asymmetric unit:
Tm  0.0000  0.3325  0.0000 (multiplicity 8)  1 Th 3.49, 11 Tm 3.50-3.52
Tm  0.1650  0.1650  0.5000 (multiplicity 8)  10 Tm 3.47-3.54, 2 Th 3.49
Th  0.0000  0.0000  0.0000 (multiplicity 2)  12 Tm 3.49

Output
* crystal system: tetragonal
* total magnetization: 0.00 μB per formula unit
* VASP energy: -85.81 eV per cell
* ΔE_f: 0.29 eV/f.u.


Computed, not measured: an optimized crystal structure of TmTh at the PBE level of DFT.

Unit cell a=7.0522 b=10.0914 c=4.9818 alpha=90.00 beta=134.86 gamma=90.00
Last column: nearest neighbours and their distance in Å.
Space group C2/c (No. 15)
Asymmetric unit:
Tm  0.0000  0.1246  0.2500 (multiplicity 4)  8 Th 3.53-3.55, 4 Tm 3.54-3.56
Th  0.0000  0.3750  0.7500 (multiplicity 4)  8 Tm 3.53-3.55, 4 Th 3.55

Output
* crystal system: monoclinic
* total magnetization: 0.00 μB per formula unit
* VASP energy: -47.19 eV per cell
* ΔE_f: 0.09 eV/f.u.
* ΔE to the lowest computed polymorph: 18 meV/atom


Computed, not measured: an optimized crystal structure of Tm2Th3 at the PBE level of DFT.

Unit cell a=11.6831 b=30.9747 c=3.5020 alpha=90.00 beta=90.00 gamma=90.00
Last column: nearest neighbours and their distance in Å.
Space group Fdd2 (No. 43)
Asymmetric unit:
Tm  0.0215  0.2018  0.0000 (multiplicity 16)  6 Th 3.40-3.66, 4 Tm 3.50
Th  0.0000  0.0000  0.1754 (multiplicity 8)  6 Tm 3.40-3.66, 6 Th 3.48-3.61
Th  0.0364  0.0985  0.6377 (multiplicity 16)  4 Tm 3.44-3.82, 6 Th 3.46-3.61

Output
* crystal system: orthorhombic
* total magnetization: 0.00 μB per formula unit
* VASP energy: -245.11 eV per cell
* ΔE_f: 0.56 eV/f.u.
* ΔE to the lowest computed polymorph: 0 meV/atom


Computed, not measured: an optimized crystal structure of Tm4Th3 at the PBE level of DFT.

Unit cell a=17.0408 b=3.4403 c=8.5870 alpha=90.00 beta=118.00 gamma=90.00
Last column: nearest neighbours and their distance in Å.
Space group C2/m (No. 12)
Asymmetric unit:
Tm  0.0803  0.0000  0.2019 (multiplicity 4)  5 Tm 3.26-3.57, 4 Th 3.38-3.48
Tm  0.1355  0.5000  0.9019 (multiplicity 4)  6 Tm 3.44-3.77, 5 Th 3.53-3.61
Th  0.0000  0.0000  0.5000 (multiplicity 2)  4 Th 3.34-3.44, 6 Tm 3.42-3.57
Th  0.2189  0.0000  0.6404 (multiplicity 4)  5 Th 3.34-3.51, 6 Tm 3.38-3.61

Output
* crystal system: monoclinic
* total magnetization: 0.00 μB per formula unit
* VASP energy: -78.24 eV per cell
* ΔE_f: 1.03 eV/f.u.
* ΔE to the lowest computed polymorph: 112 meV/atom


Computed, not measured: an optimized crystal structure of Tm4Th3 at the PBE level of DFT.

Unit cell a=11.0831 b=4.9960 c=7.9596 alpha=90.00 beta=98.22 gamma=90.00
Last column: nearest neighbours and their distance in Å.
Space group C2/m (No. 12)
Asymmetric unit:
Tm  0.1406  0.0000  0.4287 (multiplicity 4)  6 Tm 3.47-3.56, 6 Th 3.49-3.57
Tm  0.2139  0.5000  0.1426 (multiplicity 4)  7 Th 3.48-3.55, 5 Tm 3.54-3.56
Th  0.0000  0.0000  0.0000 (multiplicity 2)  8 Tm 3.52-3.54, 4 Th 3.53
Th  0.0692  0.5000  0.7150 (multiplicity 4)  9 Tm 3.48-3.57, 3 Th 3.53-3.54

Output
* crystal system: monoclinic
* total magnetization: 0.00 μB per formula unit
* VASP energy: -79.81 eV per cell
* ΔE_f: 0.24 eV/f.u.
* ΔE to the lowest computed polymorph: 0 meV/atom


Computed, not measured: an optimized crystal structure of Tm3Th2 at the PBE level of DFT.

Unit cell a=11.9276 b=6.1524 c=9.1601 alpha=90.00 beta=110.98 gamma=90.00
Last column: nearest neighbours and their distance in Å.
Space group C2/c (No. 15)
Asymmetric unit:
Tm  0.0000  0.1616  0.2500 (multiplicity 4)  6 Th 3.47-3.59, 6 Tm 3.50-3.59
Tm  0.2018  0.1663  0.6502 (multiplicity 8)  6 Th 3.49-3.63, 6 Tm 3.50-3.59
Th  0.0974  0.3270  0.9437 (multiplicity 8)  9 Tm 3.47-3.63, 3 Th 3.48-3.57

Output
* crystal system: monoclinic
* total magnetization: 0.00 μB per formula unit
* VASP energy: -112.24 eV per cell
* ΔE_f: 0.19 eV/f.u.
* ΔE to the lowest computed polymorph: 3 meV/atom


Computed, not measured: an optimized crystal structure of TmThV4 at the PBE level of DFT.

Unit cell a=7.5879 b=7.5879 c=7.5879 alpha=90.00 beta=90.00 gamma=90.00
Last column: nearest neighbours and their distance in Å.
Space group F-43m (No. 216)
Asymmetric unit:
Tm  0.0000  0.0000  0.0000 (multiplicity 4)  12 V 3.14, 4 Th 3.29
Th  0.2500  0.2500  0.2500 (multiplicity 4)  12 V 3.15, 4 Tm 3.29
V  0.1254  0.1254  0.6254 (multiplicity 16)  6 V 2.67-2.69

Output
* crystal system: cubic
* total magnetization: 0.00 μB per formula unit
* VASP energy: -188.96 eV per cell
* ΔE_f: 1.13 eV/f.u.


Computed, not measured: an optimized crystal structure of Y2Tm4Th3 at the PBE level of DFT.

Unit cell a=3.5478 b=3.5478 c=26.2312 alpha=90.00 beta=90.00 gamma=120.00
Last column: nearest neighbours and their distance in Å.
Space group P3m1 (No. 156)
Asymmetric unit:
Y  0.0000  0.0000  0.0000 (multiplicity 1)  3 Tm 3.50, 6 Y 3.55, 3 Th 3.61
Y  0.0000  0.0000  0.2219 (multiplicity 1)  1 Tm 3.30, 3 Th 3.51, 6 Y 3.55
Tm  0.0000  0.0000  0.3479 (multiplicity 1)  1 Y 3.30, 3 Th 3.47, 6 Tm 3.55
Tm  0.0000  0.0000  0.5666 (multiplicity 1)  9 Tm 3.44-3.55, 3 Th 3.58
Tm  0.3333  0.6667  0.6721 (multiplicity 1)  9 Tm 3.44-3.55, 3 Th 3.54
Tm  0.3333  0.6667  0.8920 (multiplicity 1)  3 Y 3.50, 3 Th 3.53, 6 Tm 3.55
Th  0.0000  0.0000  0.7823 (multiplicity 1)  6 Tm 3.53-3.54, 6 Th 3.55
Th  0.3333  0.6667  0.1134 (multiplicity 1)  6 Y 3.51-3.61, 6 Th 3.55
Th  0.3333  0.6667  0.4548 (multiplicity 1)  6 Tm 3.47-3.58, 6 Th 3.55

Output
* crystal system: trigonal
* total magnetization: 0.00 μB per formula unit
* VASP energy: -52.35 eV per cell
* ΔE_f: 0.73 eV/f.u.